[1]
6
Lattice="-0.836 -1.566 3.855 3.788 -2.221 -0.081 2.777 4.562 4.787" Properties=species:S:1:pos:R:3 comment="PBE HfTlAg, relaxed" ef_mev_per_atom=122 magmom_total_mub_per_cell=0.00 pbc="T T T"
Tl 3.937 3.125 5.310
Tl 1.900 -0.284 3.487
Hf 4.822 0.326 4.367
Hf 5.495 1.369 7.271
Ag 4.256 -0.538 1.558
Ag 2.530 0.686 6.352

---

[2]
4
Lattice="3.057 0.000 0.000 1.528 2.647 0.000 1.528 0.882 11.088" Properties=species:S:1:pos:R:3 comment="PBE HfTlAg2, relaxed" ef_mev_per_atom=358 de_polymorph_mev_per_atom=230 magmom_total_mub_per_cell=0.00 pbc="T T T"
Tl 3.057 1.765 5.544
Hf 0.000 0.000 0.000
Ag 1.528 0.882 8.321
Ag 4.585 2.647 2.766

---

[3]
6
Lattice="5.458 -0.001 0.009 0.000 3.191 0.000 -0.243 0.000 7.508" Properties=species:S:1:pos:R:3 comment="PBE HfTlAg, relaxed" ef_mev_per_atom=103 magmom_total_mub_per_cell=0.00 pbc="T T T"
Tl 2.488 2.682 2.541
Tl 3.225 1.087 7.145
Hf 0.481 2.683 7.392
Hf 5.232 1.087 2.294
Ag 1.321 1.087 4.920
Ag 4.392 2.682 4.766

---

[4]
6
Lattice="7.911 0.016 -0.046 0.638 3.133 0.003 -2.011 -1.220 5.333" Properties=species:S:1:pos:R:3 comment="PBE HfTlAg, relaxed" ef_mev_per_atom=102 magmom_total_mub_per_cell=0.00 pbc="T T T"
Tl 3.010 1.095 1.807
Tl 3.540 -0.643 5.019
Hf -1.433 0.373 4.813
Hf 0.072 0.063 2.058
Ag 1.352 1.437 4.456
Ag 5.836 2.149 2.372

---

[5]
5
Lattice="-3.069 -3.125 -2.474 2.598 -4.064 1.911 -3.089 -0.108 3.969" Properties=species:S:1:pos:R:3 comment="PBE HfTl2AgW, relaxed" ef_mev_per_atom=1662 magmom_total_mub_per_cell=0.99 pbc="T T T"
Tl -1.544 -0.054 1.985
Tl -1.535 -1.563 -1.237
Hf -1.780 -3.649 1.703
Ag 0.000 0.000 0.000
W 1.299 -2.032 0.955

---

[6]
5
Lattice="5.761 0.000 0.000 0.000 5.267 0.000 0.000 0.000 5.761" Properties=species:S:1:pos:R:3 comment="PBE HfTl2ZnAg, relaxed" ef_mev_per_atom=900 magmom_total_mub_per_cell=0.00 pbc="T T T"
Tl 0.000 0.000 2.880
Tl 2.880 0.000 0.000
Hf 0.000 0.000 0.000
Zn 2.880 2.634 2.880
Ag 0.000 2.634 0.000

---

[7]
4
Lattice="-4.059 2.370 -1.534 -3.278 -2.323 -2.881 -4.427 -1.256 1.808" Properties=species:S:1:pos:R:3 comment="PBE HfZrTlAg, relaxed" ef_mev_per_atom=48 magmom_total_mub_per_cell=0.00 pbc="T T T"
Tl -8.824 -0.906 -1.956
Hf -5.882 -0.604 -1.304
Zr 0.000 0.000 0.000
Ag -2.941 -0.302 -0.652

---

[8]
4
Lattice="3.186 0.000 0.000 1.593 2.760 0.000 1.593 0.920 11.358" Properties=species:S:1:pos:R:3 comment="PBE Tm2HfAg, relaxed" ef_mev_per_atom=314 de_polymorph_mev_per_atom=428 magmom_total_mub_per_cell=0.00 pbc="T T T"
Tm 1.593 0.920 8.207
Tm 4.780 2.760 3.152
Hf 0.000 0.000 0.000
Ag 3.186 1.840 5.679

---

[9]
3
Lattice="3.324 0.000 0.000 0.000 3.324 0.000 -1.662 -1.662 6.196" Properties=species:S:1:pos:R:3 comment="PBE TmHfAg, relaxed" ef_mev_per_atom=-62 de_polymorph_mev_per_atom=30 magmom_total_mub_per_cell=0.00 pbc="T T T"
Tm 0.000 0.000 4.109
Hf 0.000 0.000 0.128
Ag 1.662 1.662 1.959

---

[10]
6
Lattice="3.762 0.000 0.000 0.000 3.762 0.000 0.000 0.000 9.783" Properties=species:S:1:pos:R:3 comment="PBE TmHfAg, relaxed" ef_mev_per_atom=-92 de_polymorph_mev_per_atom=0 magmom_total_mub_per_cell=0.00 pbc="T T T"
Hf 0.000 1.881 5.519
Hf 1.881 0.000 4.264
Tm 0.000 1.881 2.305
Tm 1.881 0.000 7.478
Ag 1.881 0.000 0.782
Ag 0.000 1.881 9.001

---

[11]
4
Lattice="-0.936 2.942 -1.421 0.942 -1.172 -3.047 -6.811 -2.685 -1.073" Properties=species:S:1:pos:R:3 comment="PBE TmHfAg2, relaxed" ef_mev_per_atom=-85 de_polymorph_mev_per_atom=0 magmom_total_mub_per_cell=0.42 pbc="T T T"
Tm -3.403 -0.458 -2.770
Hf 0.003 0.885 -2.234
Ag -5.208 -2.053 -0.820
Ag -1.603 -0.632 -0.252

---

[12]
4
Lattice="4.948 0.000 0.000 2.474 4.285 0.000 2.474 1.428 4.040" Properties=species:S:1:pos:R:3 comment="PBE TmHfAg2, relaxed" ef_mev_per_atom=-51 de_polymorph_mev_per_atom=35 magmom_total_mub_per_cell=0.67 pbc="T T T"
Tm 0.000 0.000 0.000
Hf 4.948 2.857 2.020
Ag 2.474 1.428 1.010
Ag 7.422 4.285 3.030

---

[13]
4
Lattice="-1.698 -1.588 -2.443 2.813 -0.155 -1.854 1.929 -7.532 3.555" Properties=species:S:1:pos:R:3 comment="PBE Tm2HfAg, relaxed" ef_mev_per_atom=-114 de_polymorph_mev_per_atom=0 magmom_total_mub_per_cell=0.00 pbc="T T T"
Tm 1.473 -5.749 2.714
Tm 0.457 -1.782 0.841
Hf 1.522 -4.637 -0.371
Ag 0.557 -0.871 -2.148

---

[14]
4
Lattice="4.892 0.000 0.000 2.446 4.237 0.000 2.446 1.412 3.994" Properties=species:S:1:pos:R:3 comment="PBE TmHfZnAg, relaxed" ef_mev_per_atom=-113 magmom_total_mub_per_cell=0.82 pbc="T T T"
Zn 4.892 2.824 1.997
Tm 2.446 1.412 0.999
Hf 7.338 4.237 2.996
Ag 0.000 0.000 0.000

---

[15]
8
Lattice="-2.919 -2.141 -1.239 2.471 -2.610 -1.312 -0.506 -6.983 7.353" Properties=species:S:1:pos:R:3 comment="PBE HfV2Ag, relaxed" ef_mev_per_atom=686 de_polymorph_mev_per_atom=238 magmom_total_mub_per_cell=1.67 pbc="T T T"
Hf 0.000 0.000 0.000
Hf -1.824 -5.750 2.420
Ag -0.224 -2.375 -1.276
Ag 0.871 -5.984 2.383
V -1.679 -3.437 0.884
V 1.090 -3.617 0.879
V -0.579 -6.985 4.575
V -0.740 -9.427 3.266

---

[16]
4
Lattice="4.347 -1.820 -0.648 2.700 -1.106 3.758 0.852 -4.559 1.058" Properties=species:S:1:pos:R:3 comment="PBE Hf2VAg, relaxed" ef_mev_per_atom=153 de_polymorph_mev_per_atom=135 magmom_total_mub_per_cell=2.07 pbc="T T T"
Hf 1.975 -1.871 1.042
Hf 5.925 -5.614 3.126
Ag 3.950 -3.742 2.084
V 0.000 0.000 0.000

---

[17]
5
Lattice="4.816 0.000 0.000 0.000 4.816 0.000 0.000 0.000 4.816" Properties=species:S:1:pos:R:3 comment="PBE HfVAg3, relaxed" ef_mev_per_atom=1207 de_polymorph_mev_per_atom=0 magmom_total_mub_per_cell=2.07 pbc="T T T"
Hf 2.408 2.408 2.408
Ag 0.000 2.408 0.000
Ag 0.000 0.000 2.408
Ag 2.408 0.000 0.000
V 0.000 0.000 0.000

---

[18]
4
Lattice="3.213 0.000 0.000 0.000 3.213 0.000 0.000 0.000 7.329" Properties=species:S:1:pos:R:3 comment="PBE Hf2VAg, relaxed" ef_mev_per_atom=18 de_polymorph_mev_per_atom=0 magmom_total_mub_per_cell=0.02 pbc="T T T"
Hf 0.000 0.000 5.686
Hf 0.000 0.000 1.643
Ag 1.606 1.606 3.664
V 1.606 1.606 0.000

---

[19]
10
Lattice="7.601 0.000 0.000 0.000 7.601 0.000 0.000 0.000 3.428" Properties=species:S:1:pos:R:3 comment="PBE Hf2VAg2, relaxed" ef_mev_per_atom=330 magmom_total_mub_per_cell=6.89 pbc="T T T"
Hf 1.345 5.145 1.714
Hf 5.145 6.257 1.714
Hf 6.257 2.456 1.714
Hf 2.456 1.345 1.714
Ag 2.842 6.642 0.000
Ag 6.642 4.760 0.000
Ag 4.760 0.959 0.000
Ag 0.959 2.842 0.000
V 0.000 0.000 0.000
V 3.801 3.801 0.000

---

[20]
4
Lattice="4.471 -1.398 0.451 1.847 -0.635 4.282 0.964 -4.346 1.527" Properties=species:S:1:pos:R:3 comment="PBE HfVAg2, relaxed" ef_mev_per_atom=297 de_polymorph_mev_per_atom=0 magmom_total_mub_per_cell=3.24 pbc="T T T"
Hf 3.641 -3.189 3.130
Ag 1.820 -1.595 1.565
Ag 5.461 -4.784 4.694
V 0.000 0.000 0.000